# CeEr4Sn4

CeEr4Sn4 after structural relaxation (PBE-GGA, Alexandria via LeMat-Bulk).

Spin magnetization   0.1912 μB per atom

a b c (Å): 9.9032 9.9032 6.0750
angles (deg): 90.00 90.00 90.00
Space group P4_2/n (No. 86, origin choice 2)
Asymmetric unit:
Ce 0.2500 0.2500 0.2500 [2 per cell]
Er 0.1028 0.6431 0.1441 [8 per cell]
Sn 0.0434 0.6062 0.6557 [8 per cell]

=====

# CeErSn

CeErSn after structural relaxation (PBE-GGA, Alexandria via LeMat-Bulk).

Energy above the most stable polymorph in this dataset   18.6 meV/atom
Spin magnetization   0.4376 μB per atom

a b c (Å): 5.4240 5.4240 6.4384
angles (deg): 90.00 90.00 120.00
Space group P6_3/mmc (No. 194)
Asymmetric unit:
Ce 0.0000 0.0000 0.0000 [2 per cell]
Er 0.3333 0.6667 0.2500 [2 per cell]
Sn 0.3333 0.6667 0.7500 [2 per cell]

=====

no.,theoretical density (g/cm³),formation energy from the elements (meV/atom)
1,7.2,-369
2,8.6,-554